Material: MnSiSnIrS
Method: DFT, PBE
State: relaxed

```
MnSiSnIrS
1.0
3.680 0.000 0.000
-1.840 3.187 0.000
0.000 0.000 21.482
Ir Si S Sn Mn
3 3 3 3 3
direct
0.333 0.667 0.617
0.000 0.000 0.951
0.667 0.333 0.284
0.333 0.667 0.900
0.667 0.333 0.567
0.000 0.000 0.233
0.667 0.333 0.804
0.333 0.667 0.138
0.000 0.000 0.471
0.333 0.667 0.363
0.667 0.333 0.030
0.000 0.000 0.697
0.667 0.333 0.158
0.000 0.000 0.825
0.333 0.667 0.491
```

Summary:
- DFT total energy: -6.5779 eV per atom
- Total magnetization: 0.0 μB/cell
- Offset from the most stable computed form: 98 meV/atom
- DOS at the Fermi energy: 9.611 states/eV/cell

=====

Material: AlSb3
Method: DFT, PBE
State: relaxed

```
AlSb3
1.0
3.184 0.077 0.000
-0.841 3.072 0.000
0.000 0.000 10.226
Sb Al
3 1
direct
0.000 0.000 0.500
0.500 0.500 0.778
0.500 0.500 0.222
0.000 0.000 0.000
```

Summary:
- DFT total energy: -3.7923 eV per atom
- Total magnetization: 0.0 μB/cell
- Offset from the most stable computed form: 183 meV/atom
- DOS at the Fermi energy: 1.796 states/eV/cell

=====

Material: Mg4AgP
Method: DFT, PBE
State: relaxed

```
Mg4AgP
1.0
0.000 3.984 3.984
3.984 0.000 3.984
3.984 3.984 0.000
Mg Ag P
4 1 1
direct
0.376 0.376 0.376
0.376 0.376 0.873
0.873 0.376 0.376
0.376 0.873 0.376
0.000 0.000 0.000
0.750 0.750 0.750
```

Summary:
- DFT total energy: -2.1694 eV per atom
- Total magnetization: 0.0 μB/cell
- ΔE_f: 0.27 eV/atom
- DOS at the Fermi energy: 4.282 states/eV/cell

=====

Material: PuPa3N
Method: DFT, PBE
State: relaxed

```
PuPa3N
1.0
-1.415 -4.358 -1.338
2.953 -1.944 3.207
-3.473 0.123 3.272
Pu Pa N
1 3 1
direct
0.500 0.500 0.500
0.500 0.000 0.000
0.000 0.500 0.000
0.000 0.000 0.500
0.000 0.000 0.000
```

Summary:
- DFT total energy: -10.7651 eV per atom
- Total magnetization: 5.1 μB/cell
- DOS at the Fermi energy: 7.623 states/eV/cell

=====

Material: HfScBi
Method: DFT, PBE
State: relaxed

```
HfScBi
1.0
3.264 0.000 0.000
0.000 5.120 0.000
0.000 -2.560 4.434
Bi Hf Sc
1 1 1
direct
0.030 0.000 0.000
0.253 0.333 0.667
0.717 0.667 0.333
```

Summary:
- DFT total energy: -6.6736 eV per atom
- Total magnetization: 1.0 μB/cell
- ΔE_f: 0.05 eV/atom
- DOS at the Fermi energy: 4.516 states/eV/cell

=====

Material: Ce5Nd3Te8
Method: DFT, PBE
State: relaxed

```
Ce5Nd3Te8
1.0
7.758 0.000 4.444
2.606 7.308 4.444
-0.021 -0.015 9.031
Nd Ce Te
3 5 8
direct
0.000 0.500 0.500
0.000 0.000 0.500
0.500 0.000 0.500
0.500 0.500 0.000
0.500 0.000 0.000
0.000 0.000 0.000
0.000 0.500 0.000
0.500 0.500 0.500
0.750 0.250 0.250
0.750 0.750 0.250
0.250 0.250 0.249
0.250 0.250 0.750
0.250 0.750 0.250
0.750 0.250 0.750
0.250 0.750 0.750
0.750 0.750 0.751
```

Summary:
- DFT total energy: -5.7121 eV per atom
- Total magnetization: 3.4 μB/cell
- DOS at the Fermi energy: 37.863 states/eV/cell

=====

Material: RbNb2SiBr
Method: DFT, PBE
State: relaxed

```
RbNb2SiBr
1.0
-3.380 -2.826 2.092
-1.848 -1.588 -5.132
3.138 -3.734 0.025
Si Br Nb Rb
1 1 2 1
direct
0.000 0.500 0.000
0.000 0.000 0.000
0.500 0.000 0.000
0.000 0.000 0.500
0.500 0.500 0.500
```

Summary:
- DFT total energy: -4.2126 eV per atom
- Total magnetization: 0.4 μB/cell
- Offset from the most stable computed form: 619 meV/atom
- DOS at the Fermi energy: 4.434 states/eV/cell

=====

Material: SnRuSe3
Method: DFT, PBE
State: relaxed

```
SnRuSe3
1.0
4.988 0.000 0.000
0.000 4.988 0.000
0.000 0.000 4.988
Se Ru Sn
3 1 1
direct
0.000 0.000 0.500
0.500 0.000 0.000
0.000 0.500 0.000
0.000 0.000 0.000
0.500 0.500 0.500
```

Summary:
- DFT total energy: -4.5223 eV per atom
- Total magnetization: 2.0 μB/cell
- Offset from the most stable computed form: 0 meV/atom
- DOS at the Fermi energy: 5.749 states/eV/cell

=====

Material: KMg2In
Method: DFT, PBE
State: relaxed

```
KMg2In
1.0
-4.588 0.504 -1.676
-1.314 -4.158 2.348
-1.178 2.642 4.020
Mg In K
2 1 1
direct
0.000 0.500 0.500
0.000 0.000 0.000
0.500 0.500 0.000
0.500 0.000 0.500
```

Summary:
- DFT total energy: -1.5936 eV per atom
- Total magnetization: 0.0 μB/cell
- ΔE_f: 0.16 eV/atom
- DOS at the Fermi energy: 2.381 states/eV/cell

=====

Material: Dy3YGa2
Method: DFT, PBE
State: relaxed

```
Dy3YGa2
1.0
-0.655 4.013 -2.970
-3.273 -7.108 -4.614
-4.370 4.130 6.545
Dy Y Ga
6 2 4
direct
0.622 0.244 0.733
0.062 0.125 0.408
0.312 0.625 0.620
0.938 0.875 0.592
0.688 0.375 0.380
0.378 0.756 0.267
0.871 0.743 0.932
0.129 0.257 0.068
0.228 0.456 0.842
0.514 0.029 0.879
0.772 0.544 0.158
0.486 0.971 0.121
```

Summary:
- DFT total energy: -4.7193 eV per atom
- Total magnetization: 0.0 μB/cell
- ΔE_f: -0.33 eV/atom
- Offset from the most stable computed form: 101 meV/atom
- DOS at the Fermi energy: 10.219 states/eV/cell

=====

Material: PaAlNiIr
Method: DFT, PBE
State: relaxed

```
PaAlNiIr
1.0
4.619 0.000 0.000
2.309 4.000 0.000
2.309 1.333 3.771
Al Ni Ir Pa
1 1 1 1
direct
0.750 0.750 0.750
0.500 0.500 0.500
0.000 0.000 0.000
0.250 0.250 0.250
```

Summary:
- DFT total energy: -7.5273 eV per atom
- Total magnetization: 0.0 μB/cell
- ΔE_f: -0.56 eV/atom
- DOS at the Fermi energy: 2.320 states/eV/cell

=====

Material: Na2ZnAgH6
Method: DFT, PBE
State: relaxed

```
Na2ZnAgH6
1.0
-4.308 -2.065 -0.236
1.881 -4.107 1.573
0.327 4.419 3.868
H Na Ag Zn
6 2 1 1
direct
0.222 0.736 0.958
0.735 0.223 0.958
0.211 0.211 0.421
0.728 0.729 0.456
0.223 0.223 0.958
0.735 0.735 0.958
0.285 0.785 0.569
0.785 0.285 0.569
0.536 0.537 0.073
0.039 0.039 0.078
```

Summary:
- DFT total energy: -2.6658 eV per atom
- Total magnetization: 0.0 μB/cell
- DOS at the Fermi energy: 0.471 states/eV/cell

=====

Material: Ca2MnCd2Pd5
Method: DFT, PBE
State: relaxed

```
Ca2MnCd2Pd5
1.0
3.689 0.000 0.000
0.000 10.347 0.000
0.000 0.000 10.347
Ca Mn Pd Cd
4 2 10 4
direct
0.000 0.669 0.169
0.000 0.331 0.831
0.000 0.169 0.331
0.000 0.831 0.669
0.000 0.000 0.000
0.000 0.500 0.500
0.500 0.052 0.812
0.500 0.448 0.312
0.500 0.312 0.552
0.500 0.552 0.688
0.500 0.000 0.500
0.500 0.688 0.448
0.500 0.948 0.188
0.500 0.812 0.948
0.500 0.500 0.000
0.500 0.188 0.052
0.000 0.633 0.867
0.000 0.367 0.133
0.000 0.133 0.633
0.000 0.867 0.367
```

Summary:
- DFT total energy: -4.4797 eV per atom
- Total magnetization: 8.8 μB/cell
- ΔE_f: -0.38 eV/atom
- DOS at the Fermi energy: 9.247 states/eV/cell

=====

Material: SrS4
Method: DFT, PBE
State: relaxed

```
SrS4
1.0
-1.174 -5.567 1.034
2.939 -1.502 -4.748
4.839 -0.439 3.135
Sr S
1 4
direct
0.500 0.500 0.500
0.500 0.000 0.500
0.500 0.500 0.000
0.000 0.500 0.500
0.000 0.000 0.000
```

Summary:
- DFT total energy: -2.9020 eV per atom
- Total magnetization: 6.0 μB/cell
- Offset from the most stable computed form: 1052 meV/atom
- DOS at the Fermi energy: 3.795 states/eV/cell

=====

Material: Sm3CuAu
Method: DFT, PBE
State: relaxed

```
Sm3CuAu
1.0
3.878 0.000 -0.001
0.001 8.942 0.380
0.002 3.465 8.268
Au Sm Cu
2 6 2
direct
0.864 0.193 0.248
0.363 0.694 0.746
0.864 0.997 0.671
0.864 0.392 0.822
0.863 0.770 0.443
0.364 0.043 0.094
0.364 0.346 0.399
0.863 0.618 0.049
0.363 0.194 0.746
0.362 0.695 0.246
```

Summary:
- DFT total energy: -4.5184 eV per atom
- Total magnetization: 0.0 μB/cell
- ΔE_f: -0.21 eV/atom
- DOS at the Fermi energy: 10.894 states/eV/cell

=====

Material: NaTlTc3
Method: DFT, PBE
State: relaxed

```
NaTlTc3
1.0
5.215 0.000 0.000
0.000 5.215 0.000
0.000 0.000 5.215
Tc Na Tl
3 1 1
direct
0.000 0.000 0.500
0.000 0.500 0.000
0.500 0.000 0.000
0.500 0.500 0.500
0.000 0.000 0.000
```

Summary:
- DFT total energy: -4.6060 eV per atom
- Total magnetization: 8.9 μB/cell
- ΔE_f: 2.35 eV/atom
- Offset from the most stable computed form: 0 meV/atom
- DOS at the Fermi energy: 13.397 states/eV/cell